--- P ---
{"formula": "Pm2Tm2Mg", "functional": "GGA-PBE", "state": "optimized geometry", "m_tot_mub_per_atom": 0.000, "cell": [[-4.196, -2.733, 1.342], [0.379, -2.736, -4.387], [9.064, -5.444, 7.241]], "species": ["Pm", "Pm", "Pm", "Pm", "Tm", "Tm", "Tm", "Tm", "Mg", "Mg"], "fractional_positions": [[0.422, 0.922, 0.844], [0.672, 0.672, 0.344], [0.328, 0.328, 0.656], [0.078, 0.578, 0.156], [0.825, 0.825, 0.649], [0.575, 0.075, 0.149], [0.925, 0.425, 0.851], [0.175, 0.175, 0.351], [0.500, 0.500, 0.000], [0.250, 0.750, 0.500]]}

--- Q ---
{"formula": "Pm2Tm2Mg", "functional": "GGA-PBE", "state": "optimized geometry", "m_tot_mub_per_atom": 0.000, "cell": [[-2.963, 0.775, -1.832], [-1.014, -6.962, -1.305], [-4.208, 3.898, 11.932]], "species": ["Pm", "Pm", "Pm", "Pm", "Tm", "Tm", "Tm", "Tm", "Mg", "Mg"], "fractional_positions": [[0.404, 0.857, 0.809], [0.405, 0.357, 0.809], [0.596, 0.143, 0.191], [0.595, 0.643, 0.191], [0.199, 0.549, 0.398], [0.801, 0.951, 0.602], [0.801, 0.451, 0.602], [0.199, 0.049, 0.398], [0.000, 0.250, 0.000], [0.000, 0.750, 0.000]]}

Stability ranking, top and bottom: Q is the most stable and P is the least stable.

--- P ---
{"formula": "SrSc2Ta", "functional": "GGA-PBE", "state": "optimized geometry", "m_tot_mub_per_atom": 0.000, "cell": [[-0.945, 3.122, 0.479], [-1.623, 0.112, -3.930], [-6.912, -2.518, 2.783]], "species": ["Sc", "Sc", "Sr", "Ta"], "fractional_positions": [[0.000, 0.000, 0.970], [0.500, 0.500, 0.184], [0.000, 0.000, 0.529], [0.500, 0.500, 0.817]]}

--- Q ---
{"formula": "SrSc2Ta", "functional": "GGA-PBE", "state": "optimized geometry", "m_tot_mub_per_atom": 0.000, "cell": [[6.571, 0.001, 0.000], [3.383, 5.633, 0.000], [-4.180, -4.224, 2.803]], "species": ["Sc", "Sc", "Sr", "Ta"], "fractional_positions": [[0.977, 0.977, 0.000], [0.234, 0.734, 0.500], [0.516, 0.516, 0.000], [0.772, 0.272, 0.500]]}

Stability ranking, top and bottom: P is the most stable and Q is the least stable.